# 1
The following is a DFT calculation (PBE) of ZrSiMo4 after structural relaxation.

formation energy from raw total energies: 0.14 eV/atom
space-group type: F-43m (216)
uncorrected energy: -9.414 eV/atom

Structure (extended XYZ):
```
6
Lattice="-3.782 0.694 3.596 -5.062 -0.211 -1.430 -2.990 -4.067 1.494" Properties=species:S:1:pos:R:3 pbc="T T T"
Si -8.876 -2.688 2.745
Mo -5.933 -3.370 2.118
Mo -4.445 -1.346 1.375
Mo -6.327 -1.001 3.164
Zr 0.000 0.000 0.000
Mo -6.964 -1.452 0.663
```

# 2
The following is a DFT calculation (PBE) of ZrSiMo after structural relaxation.

formation energy from raw total energies: -0.10 eV/atom
space-group type: F-43m (216)
uncorrected energy: -8.371 eV/atom

Structure (extended XYZ):
```
3
Lattice="4.317 0.000 0.000 2.158 3.738 0.000 2.158 1.246 3.524" Properties=species:S:1:pos:R:3 pbc="T T T"
Zr 0.000 0.000 0.000
Mo 4.317 2.492 1.762
Si 6.475 3.738 2.643
```

no.,size of the total moment (μB per cell)
1,0.0
2,0.0